# 1
Here is a relaxed BaCdIn2Hg8 crystal from Alexandria. Energies are from PBE.

Unit cell a=5.804 b=5.804 c=11.600 alpha=96.87 beta=96.87 gamma=64.60
Fractional coordinates of all 12 atoms:
Ba1 0.000 0.000 0.500
Cd1 0.000 0.000 0.000
In1 0.676 0.676 0.321
In2 0.324 0.324 0.679
Hg1 0.824 0.310 0.793
Hg2 0.671 0.671 0.031
Hg3 0.682 0.682 0.596
Hg4 0.318 0.318 0.404
Hg5 0.329 0.329 0.969
Hg6 0.310 0.824 0.793
Hg7 0.690 0.176 0.207
Hg8 0.176 0.690 0.207

energy: -0.073 Ry/atom
DFT formation energy: -0.1033 eV/atom
V: 349 Å³/cell
symmetry: C2/m


# 2
Here is a relaxed Ba2CdIn3Hg12 crystal from Alexandria. Energies are from PBE.

Unit cell a=8.137 b=8.137 c=8.137 alpha=85.24 beta=85.24 gamma=85.24
Fractional coordinates of all 18 atoms:
Ba1 0.704 0.704 0.704
Ba2 0.296 0.296 0.296
Cd1 0.000 0.000 0.000
In1 0.500 0.000 0.000
In2 0.000 0.500 0.000
In3 0.000 0.000 0.500
Hg1 0.410 0.410 0.870
Hg2 0.807 0.807 0.282
Hg3 0.282 0.807 0.807
Hg4 0.870 0.410 0.410
Hg5 0.807 0.282 0.807
Hg6 0.410 0.870 0.410
Hg7 0.590 0.590 0.130
Hg8 0.193 0.193 0.718
Hg9 0.718 0.193 0.193
Hg10 0.130 0.590 0.590
Hg11 0.193 0.718 0.193
Hg12 0.590 0.130 0.590

energy: -0.077 Ry/atom
DFT formation energy: -0.1322 eV/atom
V: 533 Å³/cell
symmetry: R-3m


# 3
Here is a relaxed Ba2Cd4InHg3 crystal from Alexandria. Energies are from PBE.

Unit cell a=4.786 b=4.786 c=12.873 alpha=90.00 beta=90.00 gamma=90.00
Fractional coordinates of all 10 atoms:
Ba1 0.500 0.000 0.251
Ba2 0.000 0.500 0.749
Cd1 0.500 0.500 0.000
Cd2 0.000 0.000 0.000
Cd3 0.500 0.000 0.635
Cd4 0.000 0.500 0.365
In1 0.500 0.500 0.500
Hg1 0.000 0.000 0.500
Hg2 0.500 0.000 0.860
Hg3 0.000 0.500 0.140

energy: -0.106 Ry/atom
DFT formation energy: -0.3314 eV/atom
V: 295 Å³/cell
symmetry: P-4m2


# 4
Here is a relaxed BaCdIn2Hg5 crystal from Alexandria. Energies are from PBE.

Unit cell a=5.387 b=6.730 c=8.977 alpha=112.01 beta=107.46 gamma=90.00
Fractional coordinates of all 9 atoms:
Ba1 0.000 0.500 0.000
Cd1 0.500 0.000 0.000
In1 0.188 0.188 0.375
In2 0.812 0.812 0.625
Hg1 0.653 0.891 0.307
Hg2 0.347 0.109 0.693
Hg3 0.347 0.584 0.693
Hg4 0.653 0.416 0.307
Hg5 0.000 0.000 0.000

energy: -0.087 Ry/atom
DFT formation energy: -0.0858 eV/atom
V: 285 Å³/cell
symmetry: Immm


# 5
Here is a relaxed BaCd2HgIr crystal from Alexandria. Energies are from PBE.

Unit cell a=5.254 b=5.254 c=5.346 alpha=90.00 beta=90.00 gamma=90.00
Fractional coordinates of all 5 atoms:
Cd1 0.000 0.500 0.000
Cd2 0.500 0.000 0.000
Ir1 0.000 0.000 0.000
Hg1 0.000 0.000 0.500
Ba1 0.500 0.500 0.500

energy: -0.202 Ry/atom
DFT formation energy: -0.1660 eV/atom
V: 148 Å³/cell
symmetry: P4/mmm


# 6
Here is a relaxed BaCdHg2Ir crystal from Alexandria. Energies are from PBE.

Unit cell a=5.326 b=5.326 c=5.233 alpha=90.00 beta=90.00 gamma=90.00
Fractional coordinates of all 5 atoms:
Cd1 0.000 0.000 0.500
Ir1 0.000 0.000 0.000
Hg1 0.000 0.500 0.000
Hg2 0.500 0.000 0.000
Ba1 0.500 0.500 0.500

energy: -0.194 Ry/atom
DFT formation energy: -0.1723 eV/atom
V: 148 Å³/cell
symmetry: P4/mmm


# 7
Here is a relaxed KBaCdHg crystal from Alexandria. Energies are from PBE.

Unit cell a=5.945 b=5.945 c=5.945 alpha=60.00 beta=60.00 gamma=60.00
Fractional coordinates of all 4 atoms:
K1 0.000 0.000 0.000
Cd1 0.750 0.750 0.750
Hg1 0.250 0.250 0.250
Ba1 0.500 0.500 0.500

energy: -0.095 Ry/atom
DFT formation energy: -0.2399 eV/atom
V: 149 Å³/cell
symmetry: F-43m


# 8
Here is a relaxed BaLaCdHg crystal from Alexandria. Energies are from PBE.

Unit cell a=5.751 b=5.751 c=5.751 alpha=60.00 beta=60.00 gamma=60.00
Fractional coordinates of all 4 atoms:
Ba1 0.750 0.750 0.750
Cd1 0.500 0.500 0.500
Hg1 0.000 0.000 0.000
La1 0.250 0.250 0.250

energy above the lowest structure with this stoichiometry: 5.3 kJ/mol of atoms
energy: -0.174 Ry/atom
DFT formation energy: -0.3553 eV/atom
V: 134 Å³/cell
symmetry: F-43m


# 9
Here is a relaxed Ba2LaCd3Hg12 crystal from Alexandria. Energies are from PBE.

Unit cell a=13.113 b=13.113 c=13.113 alpha=32.17 beta=32.17 gamma=32.17
Fractional coordinates of all 18 atoms:
Ba1 0.635 0.635 0.635
Ba2 0.365 0.365 0.365
La1 0.000 0.000 0.000
Cd1 0.500 0.000 0.000
Cd2 0.000 0.500 0.000
Cd3 0.000 0.000 0.500
Hg1 0.408 0.408 0.837
Hg2 0.876 0.876 0.421
Hg3 0.421 0.876 0.876
Hg4 0.837 0.408 0.408
Hg5 0.876 0.421 0.876
Hg6 0.408 0.837 0.408
Hg7 0.592 0.592 0.163
Hg8 0.124 0.124 0.579
Hg9 0.579 0.124 0.124
Hg10 0.163 0.592 0.592
Hg11 0.124 0.579 0.124
Hg12 0.592 0.163 0.592

energy: -0.074 Ry/atom
DFT formation energy: -0.1645 eV/atom
V: 568 Å³/cell
symmetry: R-3m


# 10
Here is a relaxed BaLaCdHg crystal from Alexandria. Energies are from PBE.

Unit cell a=4.053 b=4.053 c=8.226 alpha=90.00 beta=90.00 gamma=90.00
Fractional coordinates of all 4 atoms:
Ba1 0.000 0.000 0.860
La1 0.000 0.000 0.352
Cd1 0.500 0.500 0.575
Hg1 0.500 0.500 0.141

energy above the lowest structure with this stoichiometry: 0.0 kJ/mol of atoms
energy: -0.178 Ry/atom
DFT formation energy: -0.4107 eV/atom
V: 135 Å³/cell
symmetry: P4mm


# 11
Here is a relaxed BaLi2CdHg crystal from Alexandria. Energies are from PBE.

Unit cell a=5.269 b=5.269 c=5.455 alpha=90.00 beta=90.00 gamma=90.00
Fractional coordinates of all 5 atoms:
Cd1 0.000 0.000 0.500
Li1 0.000 0.500 0.000
Li2 0.500 0.000 0.000
Hg1 0.000 0.000 0.000
Ba1 0.500 0.500 0.500

energy above the lowest structure with this stoichiometry: 0.0 kJ/mol of atoms
energy: -0.113 Ry/atom
DFT formation energy: -0.1403 eV/atom
V: 151 Å³/cell
symmetry: P4/mmm


# 12
Here is a relaxed BaLiCdHg3 crystal from Alexandria. Energies are from PBE.

Unit cell a=6.965 b=6.911 c=7.704 alpha=116.65 beta=90.00 gamma=90.00
Fractional coordinates of all 12 atoms:
Ba1 0.750 0.288 0.576
Ba2 0.250 0.712 0.424
Li1 0.250 0.952 0.904
Li2 0.750 0.048 0.096
Cd1 0.250 0.362 0.724
Cd2 0.750 0.638 0.276
Hg1 0.250 0.149 0.299
Hg2 0.000 0.274 0.000
Hg3 0.500 0.726 0.000
Hg4 0.500 0.274 0.000
Hg5 0.000 0.726 0.000
Hg6 0.750 0.851 0.701

energy: -0.089 Ry/atom
DFT formation energy: -0.2741 eV/atom
V: 331 Å³/cell
symmetry: Cmcm